The following is a DFT calculation (PBE with a Hubbard U) of an optimized crystal structure of MnTl2H2OF5.

Cell and atoms, written as CIF:
```
data_MnTl2H2OF5
_chemical_formula_sum 'Mn4 Tl8 H8 O4 F20'
_space_group_name_H-M_alt 'C m c m'
_space_group_IT_number 63
_space_group_name_Hall '-C 2c 2'
_cell_length_a 10.012
_cell_length_b 7.965
_cell_length_c 8.514
_cell_angle_alpha 90.00
_cell_angle_beta 90.00
_cell_angle_gamma 90.00
loop_
_atom_site_label
_atom_site_type_symbol
_atom_site_fract_x
_atom_site_fract_y
_atom_site_fract_z
Mn1 Mn 0.000 0.000 0.000
Tl1 Tl 0.199 0.312 0.250
H1 H 0.000 0.366 0.657
O1 O 0.000 0.441 0.750
F1 F 0.000 0.000 0.250
F2 F 0.000 0.242 0.005
F3 F 0.189 0.000 0.000
```

Output
- Magnetization: 4.00 μB/f.u.
- Raw total energy: -4.90 eV/atom